# 1
Here is an optimized crystal structure of CaAcZn2In2 from Alexandria. Energies are from GGA-PBE.

```
CaAcZn2In2
1.0
-2.467 -2.745 -3.072
-1.181 0.053 4.654
-4.984 5.971 -1.333
Zn In Ca Ac
2 2 1 1
Direct
0.667 0.333 0.278
0.333 0.667 0.722
0.333 0.667 0.274
0.667 0.333 0.726
0.000 0.000 0.500
0.000 0.000 0.000
```

The calculation puts the spin magnetization at 0.00 μB/f.u. The formation energy comes out at -2.41 eV per formula unit.

---

# 2
Here is an optimized crystal structure of CaAc2Zn3In4 from Alexandria. Energies are from GGA-PBE.

```
CaAc2Zn3In4
1.0
-0.491 -4.193 -1.894
2.244 -1.881 3.582
-10.965 -1.469 6.098
Ac In Zn Ca
2 4 3 1
Direct
0.000 0.500 0.774
0.500 0.000 0.226
0.000 0.000 0.000
0.500 0.500 0.000
0.000 0.500 0.342
0.500 0.000 0.658
0.000 0.500 0.130
0.000 0.000 0.500
0.500 0.000 0.870
0.500 0.500 0.500
```

The calculation puts the spin magnetization at 0.00 μB/f.u. The formation energy comes out at -3.30 eV per formula unit.

---

# 3
Here is an optimized crystal structure of CaAcIr from Alexandria. Energies are from GGA-PBE.

```
CaAcIr
1.0
-3.124 -1.577 2.433
-0.729 -7.269 -1.916
2.439 -3.317 4.715
Ac Ca Ir
2 2 2
Direct
0.583 0.630 0.204
0.417 0.370 0.796
0.815 0.082 0.288
0.185 0.918 0.712
0.857 0.666 0.621
0.143 0.334 0.379
```

The calculation puts the spin magnetization at 0.00 μB/f.u. The formation energy comes out at -1.33 eV per formula unit. Its polymorph energy (0 for the lowest one) is 0.03 eV per formula unit.

---

# 4
Here is an optimized crystal structure of CaAcIr from Alexandria. Energies are from GGA-PBE.

```
CaAcIr
1.0
-4.880 -3.334 -2.829
1.861 -3.711 1.163
-2.831 1.910 2.632
Ca Ac Ir
1 1 1
Direct
0.772 0.667 0.333
0.228 0.333 0.667
0.001 0.000 0.000
```

The calculation puts the spin magnetization at 0.00 μB/f.u. The formation energy comes out at -1.19 eV per formula unit. Its polymorph energy (0 for the lowest one) is 0.18 eV per formula unit.

---

# 5
Here is an optimized crystal structure of CaAc4Ir4 from Alexandria. Energies are from GGA-PBE.

```
CaAc4Ir4
1.0
-1.215 -2.359 5.399
9.145 -0.417 1.875
-0.361 8.586 3.671
Ca Ir Ac
2 8 8
Direct
0.000 0.000 0.000
0.500 0.500 0.500
0.616 0.224 0.629
0.384 0.629 0.776
0.116 0.871 0.724
0.884 0.724 0.129
0.884 0.276 0.871
0.616 0.776 0.371
0.384 0.371 0.224
0.116 0.129 0.276
0.104 0.189 0.583
0.396 0.311 0.917
0.604 0.083 0.311
0.896 0.417 0.189
0.104 0.811 0.417
0.896 0.583 0.811
0.396 0.689 0.083
0.604 0.917 0.689
```

The calculation puts the spin magnetization at 0.00 μB/f.u. The formation energy comes out at -4.31 eV per formula unit.

---

# 6
Here is an optimized crystal structure of CaAcIr2 from Alexandria. Energies are from GGA-PBE.

```
CaAcIr2
1.0
3.838 0.000 0.000
0.000 4.859 0.000
0.000 0.000 4.859
Ir Ca Ac
2 1 1
Direct
0.000 0.000 0.500
0.000 0.500 0.000
0.500 0.500 0.500
0.500 0.000 0.000
```

The calculation puts the spin magnetization at 0.00 μB/f.u. The formation energy comes out at -1.08 eV per formula unit. Its polymorph energy (0 for the lowest one) is 0.00 eV per formula unit.

---

# 7
Here is an optimized crystal structure of CaAc2Ir2 from Alexandria. Energies are from GGA-PBE.

```
CaAc2Ir2
1.0
-3.210 -1.556 -2.122
-2.526 -3.892 6.674
-4.493 6.453 2.062
Ac Ca Ir
4 2 4
Direct
0.500 0.660 0.840
0.500 0.340 0.160
0.500 0.840 0.340
0.500 0.160 0.660
0.000 0.500 0.500
0.000 0.000 0.000
0.000 0.637 0.137
0.000 0.137 0.363
0.000 0.363 0.863
0.000 0.863 0.637
```

The calculation puts the spin magnetization at 0.00 μB/f.u. The formation energy comes out at -2.53 eV per formula unit. Its polymorph energy (0 for the lowest one) is 0.00 eV per formula unit.

---

# 8
Here is an optimized crystal structure of Ca2AcIr from Alexandria. Energies are from GGA-PBE.

```
Ca2AcIr
1.0
4.160 0.000 0.000
-2.080 6.570 0.000
0.000 0.000 9.537
Ir Ca Ac
2 4 2
Direct
0.270 0.539 0.250
0.730 0.461 0.750
0.658 0.316 0.430
0.342 0.684 0.570
0.342 0.684 0.930
0.658 0.316 0.070
0.077 0.154 0.750
0.923 0.846 0.250
```

The calculation puts the spin magnetization at 0.00 μB/f.u. The formation energy comes out at -1.54 eV per formula unit. Its polymorph energy (0 for the lowest one) is 0.00 eV per formula unit.

---

# 9
Here is an optimized crystal structure of CaAc4Ir2 from Alexandria. Energies are from GGA-PBE.

```
CaAc4Ir2
1.0
-3.053 2.576 1.763
-1.966 -1.173 3.718
10.411 8.652 10.798
Ac Ir Ca
4 2 1
Direct
0.734 0.734 0.799
0.266 0.266 0.201
0.128 0.128 0.615
0.872 0.872 0.385
0.569 0.569 0.294
0.431 0.431 0.706
0.000 0.000 0.000
```

The calculation puts the spin magnetization at 0.00 μB/f.u. The formation energy comes out at -3.38 eV per formula unit. Its polymorph energy (0 for the lowest one) is 0.03 eV per formula unit.

---

# 10
Here is an optimized crystal structure of CaAc3Ir8 from Alexandria. Energies are from GGA-PBE.

```
CaAc3Ir8
1.0
5.288 0.000 1.596
2.403 4.711 1.596
-0.007 -0.004 9.579
Ir Ac Ca
8 3 1
Direct
0.938 0.938 0.684
0.436 0.937 0.191
0.687 0.687 0.938
0.938 0.440 0.684
0.188 0.188 0.437
0.440 0.938 0.684
0.937 0.436 0.191
0.436 0.436 0.191
0.997 0.997 0.008
0.376 0.376 0.873
0.502 0.502 0.493
0.874 0.874 0.378
```

The calculation puts the spin magnetization at 0.00 μB/f.u. The formation energy comes out at -6.39 eV per formula unit.

---

# 11
Here is an optimized crystal structure of Ca2AcIr from Alexandria. Energies are from GGA-PBE.

```
Ca2AcIr
1.0
6.625 0.000 0.000
0.000 7.801 0.000
0.000 0.000 9.826
Ca Ir Ac
8 4 4
Direct
0.660 0.832 0.931
0.840 0.332 0.931
0.340 0.168 0.069
0.840 0.332 0.569
0.160 0.668 0.069
0.340 0.168 0.431
0.160 0.668 0.431
0.660 0.832 0.569
0.963 0.624 0.750
0.037 0.376 0.250
0.537 0.124 0.750
0.463 0.876 0.250
0.357 0.457 0.750
0.143 0.957 0.750
0.643 0.543 0.250
0.857 0.043 0.250
```

The calculation puts the spin magnetization at 0.00 μB/f.u. The formation energy comes out at -1.44 eV per formula unit. Its polymorph energy (0 for the lowest one) is 0.10 eV per formula unit.

---

# 12
Here is an optimized crystal structure of CaAc3Ir2 from Alexandria. Energies are from GGA-PBE.

```
CaAc3Ir2
1.0
7.246 0.000 0.000
0.000 7.654 0.000
-3.623 -3.827 7.190
Ca Ac Ir
2 6 4
Direct
0.000 0.000 0.000
0.000 0.500 0.000
0.231 0.981 0.462
0.769 0.519 0.538
0.231 0.481 0.462
0.769 0.019 0.538
0.500 0.750 0.000
0.500 0.250 0.000
0.571 0.361 0.722
0.150 0.861 0.722
0.429 0.639 0.278
0.850 0.139 0.278
```

The calculation puts the spin magnetization at 0.00 μB/f.u. The formation energy comes out at -3.08 eV per formula unit. Its polymorph energy (0 for the lowest one) is 0.00 eV per formula unit.